1.
Below is an optimized crystal structure of LaDy3Hg, with properties calculated at the PBE-GGA level.

POSCAR file:
```
LaDy3Hg
1.0
-3.055 3.055 10.296
3.055 -3.055 10.296
3.055 3.055 -10.296
La Dy Hg
2 6 2
Direct
0.191 0.191 0.000
0.809 0.809 0.000
0.374 0.623 0.751
0.377 0.128 0.751
0.377 0.626 0.249
0.539 0.039 0.500
0.872 0.623 0.249
0.961 0.461 0.500
0.250 0.750 0.500
0.500 0.500 0.000
```

Its total moment is 0.0 μB per cell. The total energy is -0.2550 Ry/atom. As for the formation enthalpy at 0 K: 0.338 eV per atom.

2.
Below is an optimized crystal structure of La4DyHg5, with properties calculated at the PBE-GGA level.

POSCAR file:
```
La4DyHg5
1.0
3.855 0.000 0.000
0.000 3.855 0.000
0.000 0.000 19.530
La Dy Hg
4 1 5
Direct
0.000 0.000 0.102
0.000 0.000 0.307
0.000 0.000 0.693
0.000 0.000 0.898
0.000 0.000 0.500
0.500 0.500 0.000
0.500 0.500 0.203
0.500 0.500 0.412
0.500 0.500 0.588
0.500 0.500 0.797
```

Its total moment is 1.7 μB per cell. The total energy is -0.2260 Ry/atom. As for the formation enthalpy at 0 K: -0.493 eV per atom.

3.
Below is an optimized crystal structure of LaDy2Hg, with properties calculated at the PBE-GGA level.

POSCAR file:
```
LaDy2Hg
1.0
4.890 0.000 0.000
0.000 4.890 0.000
0.000 0.000 4.880
La Dy Hg
1 2 1
Direct
0.000 0.000 0.000
0.000 0.500 0.500
0.500 0.000 0.500
0.500 0.500 0.000
```

Its total moment is 0.0 μB per cell. The calculation puts the energy above the most stable polymorph in this dataset at 87 meV/atom. The total energy is -0.2763 Ry/atom. As for the formation enthalpy at 0 K: -0.151 eV per atom.

4.
Below is an optimized crystal structure of LaDyHg, with properties calculated at the PBE-GGA level.

POSCAR file:
```
LaDyHg
1.0
7.460 0.000 0.000
0.000 3.788 0.000
0.000 0.000 12.649
La Dy Hg
4 4 4
Direct
0.135 0.250 0.087
0.365 0.750 0.587
0.635 0.250 0.413
0.865 0.750 0.913
0.109 0.250 0.392
0.391 0.750 0.892
0.609 0.250 0.108
0.891 0.750 0.608
0.130 0.250 0.764
0.370 0.750 0.264
0.630 0.250 0.736
0.870 0.750 0.236
```

Its total moment is 0.0 μB per cell. The calculation puts the energy above the most stable polymorph in this dataset at 5 meV/atom. The total energy is -0.2641 Ry/atom. As for the formation enthalpy at 0 K: -0.316 eV per atom.

5.
Below is an optimized crystal structure of LaDy2Hg, with properties calculated at the PBE-GGA level.

POSCAR file:
```
LaDy2Hg
1.0
3.682 0.000 0.000
0.000 3.682 0.000
0.000 0.000 8.837
La Dy Hg
1 2 1
Direct
0.000 0.000 0.000
0.500 0.500 0.286
0.500 0.500 0.714
0.000 0.000 0.500
```

Its total moment is 0.0 μB per cell. The calculation puts the energy above the most stable polymorph in this dataset at 11 meV/atom. The total energy is -0.2819 Ry/atom. As for the formation enthalpy at 0 K: -0.227 eV per atom.

6.
Below is an optimized crystal structure of LaDyHg4, with properties calculated at the PBE-GGA level.

POSCAR file:
```
LaDyHg4
1.0
10.614 0.000 0.000
0.000 3.943 0.000
-2.950 0.000 7.608
La Dy Hg
2 2 8
Direct
0.000 0.000 0.000
0.500 0.500 0.000
0.000 0.000 0.500
0.500 0.500 0.500
0.166 0.500 0.817
0.169 0.500 0.346
0.331 0.000 0.654
0.334 0.000 0.183
0.666 0.000 0.817
0.669 0.000 0.346
0.831 0.500 0.654
0.834 0.500 0.183
```

Its total moment is 0.4 μB per cell. The calculation puts the energy above the most stable polymorph in this dataset at 0 meV/atom. The total energy is -0.1594 Ry/atom. As for the formation enthalpy at 0 K: -0.380 eV per atom.

7.
Below is an optimized crystal structure of LaDyHg, with properties calculated at the PBE-GGA level.

POSCAR file:
```
LaDyHg
1.0
5.200 0.000 0.000
-2.600 4.504 0.000
0.000 0.000 3.967
La Dy Hg
1 1 1
Direct
0.000 0.000 0.000
0.333 0.667 0.500
0.667 0.333 0.500
```

Its total moment is 0.0 μB per cell. The calculation puts the energy above the most stable polymorph in this dataset at 103 meV/atom. The total energy is -0.2569 Ry/atom. As for the formation enthalpy at 0 K: -0.218 eV per atom.

8.
Below is an optimized crystal structure of LaDy2Hg5, with properties calculated at the PBE-GGA level.

POSCAR file:
```
LaDy2Hg5
1.0
5.302 0.000 0.000
0.000 5.302 0.000
0.000 0.000 14.780
La Dy Hg
2 4 10
Direct
0.000 0.000 0.000
0.500 0.500 0.500
0.000 0.000 0.269
0.000 0.000 0.731
0.500 0.500 0.231
0.500 0.500 0.769
0.000 0.000 0.500
0.000 0.500 0.130
0.000 0.500 0.370
0.000 0.500 0.630
0.000 0.500 0.870
0.500 0.000 0.130
0.500 0.000 0.370
0.500 0.000 0.630
0.500 0.000 0.870
0.500 0.500 0.000
```

Its total moment is 0.0 μB per cell. The total energy is -0.1774 Ry/atom. As for the formation enthalpy at 0 K: -0.458 eV per atom.

9.
Below is an optimized crystal structure of LaDyHg, with properties calculated at the PBE-GGA level.

POSCAR file:
```
LaDyHg
1.0
4.917 0.000 0.000
0.000 4.917 0.000
0.000 0.000 7.799
La Dy Hg
2 2 2
Direct
0.250 0.250 0.133
0.750 0.750 0.867
0.250 0.750 0.500
0.750 0.250 0.500
0.250 0.250 0.741
0.750 0.750 0.259
```

Its total moment is 0.0 μB per cell. The calculation puts the energy above the most stable polymorph in this dataset at 0 meV/atom. The total energy is -0.2644 Ry/atom. As for the formation enthalpy at 0 K: -0.321 eV per atom.

10.
Below is an optimized crystal structure of La2DyHg3, with properties calculated at the PBE-GGA level.

POSCAR file:
```
La2DyHg3
1.0
3.788 0.000 0.000
0.000 3.788 0.000
0.000 0.000 11.892
La Dy Hg
2 1 3
Direct
0.000 0.000 0.174
0.000 0.000 0.826
0.000 0.000 0.500
0.500 0.500 0.000
0.500 0.500 0.353
0.500 0.500 0.647
```

Its total moment is 0.9 μB per cell. The total energy is -0.2242 Ry/atom. As for the formation enthalpy at 0 K: -0.490 eV per atom.

11.
Below is an optimized crystal structure of LaDy7Hg4, with properties calculated at the PBE-GGA level.

POSCAR file:
```
LaDy7Hg4
1.0
6.412 0.000 0.000
-0.751 6.614 0.000
-0.422 -2.364 8.127
La Dy Hg
1 7 4
Direct
0.000 0.000 0.000
0.122 0.777 0.438
0.269 0.509 0.071
0.366 0.266 0.385
0.500 0.000 0.000
0.634 0.734 0.615
0.731 0.491 0.929
0.878 0.223 0.562
0.192 0.614 0.741
0.350 0.167 0.718
0.650 0.833 0.282
0.808 0.386 0.259
```

Its total moment is 0.0 μB per cell. The total energy is -0.2490 Ry/atom. As for the formation enthalpy at 0 K: -0.193 eV per atom.

12.
Below is an optimized crystal structure of LaDy4Hg4, with properties calculated at the PBE-GGA level.

POSCAR file:
```
LaDy4Hg4
1.0
9.684 0.000 0.000
0.000 9.684 0.000
0.000 0.000 5.503
La Dy Hg
2 8 8
Direct
0.250 0.250 0.250
0.750 0.750 0.750
0.103 0.840 0.674
0.160 0.603 0.174
0.340 0.897 0.174
0.397 0.660 0.674
0.603 0.340 0.326
0.660 0.103 0.826
0.840 0.397 0.826
0.897 0.160 0.326
0.041 0.144 0.825
0.144 0.459 0.675
0.356 0.041 0.675
0.459 0.356 0.825
0.541 0.644 0.175
0.644 0.959 0.325
0.856 0.541 0.325
0.959 0.856 0.175
```

Its total moment is 0.0 μB per cell. The total energy is -0.2196 Ry/atom. As for the formation enthalpy at 0 K: -0.261 eV per atom.

13.
Below is an optimized crystal structure of Li2LaDyHg4, with properties calculated at the PBE-GGA level.

POSCAR file:
```
Li2LaDyHg4
1.0
2.558 1.477 8.416
-2.558 1.477 8.416
0.000 -2.953 8.416
Li La Dy Hg
2 1 1 4
Direct
0.247 0.247 0.247
0.753 0.753 0.753
0.000 0.000 0.000
0.500 0.500 0.500
0.129 0.129 0.129
0.379 0.379 0.379
0.621 0.621 0.621
0.871 0.871 0.871
```

Its total moment is 0.0 μB per cell. The total energy is -0.1668 Ry/atom. As for the formation enthalpy at 0 K: -0.449 eV per atom.

14.
Below is an optimized crystal structure of LiLaDy2Hg4, with properties calculated at the PBE-GGA level.

POSCAR file:
```
LiLaDy2Hg4
1.0
2.577 1.488 8.919
-2.577 1.488 8.919
0.000 -2.976 8.919
Li La Dy Hg
1 1 2 4
Direct
0.000 0.000 0.000
0.500 0.500 0.500
0.258 0.258 0.258
0.742 0.742 0.742
0.114 0.114 0.114
0.373 0.373 0.373
0.627 0.627 0.627
0.886 0.886 0.886
```

Its total moment is 0.0 μB per cell. The total energy is -0.1910 Ry/atom. As for the formation enthalpy at 0 K: -0.443 eV per atom.

15.
Below is an optimized crystal structure of LaDyMgHg, with properties calculated at the PBE-GGA level.

POSCAR file:
```
LaDyMgHg
1.0
3.810 0.000 0.000
0.000 3.810 0.000
0.000 0.000 7.801
La Dy Mg Hg
1 1 1 1
Direct
0.000 0.000 0.000
0.000 0.000 0.492
0.500 0.500 0.730
0.500 0.500 0.278
```

Its total moment is 0.0 μB per cell. The calculation puts the energy above the most stable polymorph in this dataset at 0 meV/atom. The total energy is -0.2311 Ry/atom. As for the formation enthalpy at 0 K: -0.288 eV per atom.

16.
Below is an optimized crystal structure of LaDyMg2Hg4, with properties calculated at the PBE-GGA level.

POSCAR file:
```
LaDyMg2Hg4
1.0
2.573 1.485 8.497
-2.573 1.485 8.497
0.000 -2.971 8.497
La Dy Mg Hg
1 1 2 4
Direct
0.000 0.000 0.000
0.500 0.500 0.500
0.249 0.249 0.249
0.751 0.751 0.751
0.128 0.128 0.128
0.380 0.380 0.380
0.620 0.620 0.620
0.872 0.872 0.872
```

Its total moment is 0.0 μB per cell. The total energy is -0.1625 Ry/atom. As for the formation enthalpy at 0 K: -0.470 eV per atom.

17.
Below is an optimized crystal structure of LaDyMgHg, with properties calculated at the PBE-GGA level.

POSCAR file:
```
LaDyMgHg
1.0
7.683 0.000 0.000
0.000 7.683 0.000
0.000 0.000 7.683
La Dy Mg Hg
4 4 4 4
Direct
0.000 0.000 0.000
0.000 0.500 0.500
0.500 0.000 0.500
0.500 0.500 0.000
0.000 0.000 0.500
0.000 0.500 0.000
0.500 0.000 0.000
0.500 0.500 0.500
0.250 0.250 0.750
0.250 0.750 0.250
0.750 0.250 0.250
0.750 0.750 0.750
0.250 0.250 0.250
0.250 0.750 0.750
0.750 0.250 0.750
0.750 0.750 0.250
```

Its total moment is 0.1 μB per cell. The calculation puts the energy above the most stable polymorph in this dataset at 27 meV/atom. The total energy is -0.2291 Ry/atom. As for the formation enthalpy at 0 K: -0.260 eV per atom.

18.
Below is an optimized crystal structure of LaDy2MgHg4, with properties calculated at the PBE-GGA level.

POSCAR file:
```
LaDy2MgHg4
1.0
2.565 1.481 9.128
-2.565 1.481 9.128
0.000 -2.961 9.128
La Dy Mg Hg
1 2 1 4
Direct
0.000 0.000 0.000
0.241 0.241 0.241
0.759 0.759 0.759
0.500 0.500 0.500
0.127 0.127 0.127
0.384 0.384 0.384
0.616 0.616 0.616
0.873 0.873 0.873
```

Its total moment is 0.0 μB per cell. The total energy is -0.1882 Ry/atom. As for the formation enthalpy at 0 K: -0.443 eV per atom.

19.
Below is an optimized crystal structure of LaNdDyHg, with properties calculated at the PBE-GGA level.

POSCAR file:
```
LaNdDyHg
1.0
3.733 0.000 0.000
0.000 3.733 0.000
0.000 0.000 8.875
La Nd Dy Hg
1 1 1 1
Direct
0.000 0.000 0.000
0.500 0.500 0.711
0.500 0.500 0.279
0.000 0.000 0.479
```

Its total moment is 0.0 μB per cell. The calculation puts the energy above the most stable polymorph in this dataset at 0 meV/atom. The total energy is -0.2852 Ry/atom. As for the formation enthalpy at 0 K: -0.231 eV per atom.

20.
Below is an optimized crystal structure of LaNd2DyHg4, with properties calculated at the PBE-GGA level.

POSCAR file:
```
LaNd2DyHg4
1.0
2.700 1.559 8.888
-2.700 1.559 8.888
0.000 -3.118 8.888
La Nd Dy Hg
1 2 1 4
Direct
0.000 0.000 0.000
0.249 0.249 0.249
0.751 0.751 0.751
0.500 0.500 0.500
0.128 0.128 0.128
0.379 0.379 0.379
0.621 0.621 0.621
0.872 0.872 0.872
```

Its total moment is 1.5 μB per cell. The total energy is -0.2210 Ry/atom. As for the formation enthalpy at 0 K: -0.472 eV per atom.

Number 1: N(E_F) 16.39 states/eV/cell. Number 2: N(E_F) 11.65 states/eV/cell. Number 3: N(E_F) 5.90 states/eV/cell. Number 4: N(E_F) 14.32 states/eV/cell. Number 5: N(E_F) 6.16 states/eV/cell. Number 6: N(E_F) 7.96 states/eV/cell. Number 7: N(E_F) 3.87 states/eV/cell. Number 8: N(E_F) 8.80 states/eV/cell. Number 9: N(E_F) 3.94 states/eV/cell. Number 10: N(E_F) 6.67 states/eV/cell. Number 11: N(E_F) 15.68 states/eV/cell. Number 12: N(E_F) 16.77 states/eV/cell. Number 13: N(E_F) 5.98 states/eV/cell. Number 14: N(E_F) 6.43 states/eV/cell. Number 15: N(E_F) 4.61 states/eV/cell. Number 16: N(E_F) 3.06 states/eV/cell. Number 17: N(E_F) 21.00 states/eV/cell. Number 18: N(E_F) 5.25 states/eV/cell. Number 19: N(E_F) 5.55 states/eV/cell. Number 20: N(E_F) 9.02 states/eV/cell.